Density functional theory data (PBE with a Hubbard U) for a relaxed structure of CrO3F3.

As for the raw total energy: -5.017 eV per atom. The total magnetization is 0.14 μB per atom.

It has space group P1 (No. 1), with a = 3.8561 Å, b = 5.5112 Å, c = 6.1084 Å, α = 100.92°, β = 107.96° and γ = 110.35°. The inequivalent atoms are Cr at (0.0000, 0.0000, 0.0000), O at (0.0250, 0.2358, 0.8123), O at (0.8679, 0.6219, 0.1166), O at (0.9813, 0.6268, 0.3308), F at (0.2667, 0.2236, 0.3144), F at (0.4498, 0.9284, 0.9701) and F at (0.7920, 0.9678, 0.6124).